No. 1
Compound: RbNdTe3Pb
Source: Alexandria via LeMat-Bulk
Functional: PBE
Structure: optimized geometry

Geometry as POSCAR:
```
RbNdTe3Pb
1.0
9.619 0.000 0.000
0.000 4.580 0.000
-3.798 0.000 11.648
Rb Nd Te Pb
2 2 6 2
direct
0.221 0.250 0.260
0.779 0.750 0.740
0.361 0.750 0.846
0.639 0.250 0.154
0.112 0.250 0.796
0.357 0.750 0.579
0.400 0.750 0.111
0.600 0.250 0.889
0.643 0.250 0.421
0.888 0.750 0.204
0.141 0.250 0.560
0.859 0.750 0.440
```

Summary:
- Raw formation energy: -1.01 eV per atom
- Electronic total energy: -4.155 eV/atom

=====

No. 2
Compound: RbNd2Te6Pb3
Source: Alexandria via LeMat-Bulk
Functional: PBE
Structure: optimized geometry

Geometry as POSCAR:
```
RbNd2Te6Pb3
1.0
10.157 -2.288 0.000
10.157 2.288 0.000
-2.233 0.000 9.319
Rb Nd Te Pb
1 2 6 3
direct
0.000 0.000 0.000
0.331 0.331 0.651
0.669 0.669 0.349
0.168 0.168 0.590
0.181 0.181 0.111
0.490 0.490 0.726
0.510 0.510 0.274
0.819 0.819 0.889
0.832 0.832 0.410
0.000 0.000 0.500
0.343 0.343 0.150
0.657 0.657 0.850
```

Summary:
- Raw formation energy: -0.83 eV per atom
- Electronic total energy: -4.198 eV/atom

=====

No. 3
Compound: RbNd2Te4Pb
Source: Alexandria via LeMat-Bulk
Functional: PBE
Structure: optimized geometry

Geometry as POSCAR:
```
RbNd2Te4Pb
1.0
2.317 -7.968 0.000
2.317 7.968 0.000
0.000 0.000 16.811
Rb Nd Te Pb
2 4 8 2
direct
0.139 0.861 0.750
0.861 0.139 0.250
0.377 0.623 0.562
0.377 0.623 0.938
0.623 0.377 0.062
0.623 0.377 0.438
0.000 0.000 0.000
0.000 0.000 0.500
0.266 0.734 0.096
0.266 0.734 0.404
0.469 0.531 0.750
0.531 0.469 0.250
0.734 0.266 0.596
0.734 0.266 0.904
0.151 0.849 0.250
0.849 0.151 0.750
```

Summary:
- Raw formation energy: -1.01 eV per atom
- Electronic total energy: -4.353 eV/atom

=====

No. 4
Compound: Nd2RhPb
Source: Alexandria via LeMat-Bulk
Functional: PBE
Structure: optimized geometry

Geometry as POSCAR:
```
Nd2RhPb
1.0
4.369 0.000 0.000
-2.185 3.784 0.000
0.000 0.000 7.123
Nd Rh Pb
2 1 1
direct
0.333 0.667 0.201
0.667 0.333 0.799
0.000 0.000 0.000
0.000 0.000 0.500
```

Summary:
- Formation enthalpy at 0 K: -0.488 eV per atom
- Electronic total energy: -5.637 eV/atom

=====

No. 5
Compound: Nd6Rh2Pb
Source: Alexandria via LeMat-Bulk
Functional: PBE
Structure: optimized geometry

Geometry as POSCAR:
```
Nd6Rh2Pb
1.0
-4.825 5.062 5.401
4.825 -5.062 5.401
4.825 5.062 -5.401
Nd Rh Pb
12 4 2
direct
0.029 0.233 0.797
0.181 0.295 0.476
0.181 0.705 0.886
0.329 0.019 0.690
0.329 0.639 0.310
0.436 0.233 0.203
0.564 0.767 0.797
0.671 0.361 0.690
0.671 0.981 0.310
0.819 0.295 0.114
0.819 0.705 0.524
0.971 0.767 0.203
0.133 0.633 0.500
0.340 0.000 0.340
0.660 0.000 0.660
0.867 0.367 0.500
0.000 0.000 0.000
0.500 0.500 0.000
```

Summary:
- Formation enthalpy at 0 K: -0.489 eV per atom
- Electronic total energy: -5.713 eV/atom

=====

No. 6
Compound: Nd7Rh2Pb2
Source: Alexandria via LeMat-Bulk
Functional: PBE
Structure: optimized geometry

Geometry as POSCAR:
```
Nd7Rh2Pb2
1.0
4.209 -5.687 0.000
4.209 5.687 0.000
0.000 0.000 7.375
Nd Rh Pb
7 2 2
direct
0.000 0.000 0.000
0.000 0.500 0.248
0.000 0.500 0.752
0.500 0.000 0.248
0.500 0.000 0.752
0.500 0.500 0.231
0.500 0.500 0.769
0.282 0.718 0.000
0.718 0.282 0.000
0.185 0.185 0.500
0.815 0.815 0.500
```

Summary:
- Formation enthalpy at 0 K: -0.386 eV per atom
- Electronic total energy: -5.431 eV/atom

=====

No. 7
Compound: Nd4Rh6Pb19
Source: Alexandria via LeMat-Bulk
Functional: PBE
Structure: optimized geometry

Geometry as POSCAR:
```
Nd4Rh6Pb19
1.0
-5.893 5.893 5.893
5.893 -5.893 5.893
5.893 5.893 -5.893
Nd Rh Pb
4 6 19
direct
0.000 0.000 0.328
0.000 0.328 0.000
0.328 0.000 0.000
0.672 0.672 0.672
0.128 0.500 0.628
0.372 0.872 0.500
0.500 0.372 0.872
0.500 0.628 0.128
0.628 0.128 0.500
0.872 0.500 0.372
0.000 0.000 0.000
0.000 0.311 0.311
0.000 0.689 0.689
0.028 0.661 0.251
0.224 0.633 0.972
0.251 0.028 0.661
0.311 0.000 0.311
0.311 0.311 0.000
0.339 0.367 0.590
0.367 0.590 0.339
0.410 0.776 0.749
0.590 0.339 0.367
0.633 0.972 0.224
0.661 0.251 0.028
0.689 0.000 0.689
0.689 0.689 0.000
0.749 0.410 0.776
0.776 0.749 0.410
0.972 0.224 0.633
```

Summary:
- Formation enthalpy at 0 K: -0.016 eV per atom
- Electronic total energy: -4.625 eV/atom

=====

No. 8
Compound: Nd3RhPb
Source: Alexandria via LeMat-Bulk
Functional: PBE
Structure: optimized geometry

Geometry as POSCAR:
```
Nd3RhPb
1.0
5.098 -7.153 0.000
5.098 7.153 0.000
0.000 0.000 4.321
Nd Rh Pb
6 2 2
direct
0.176 0.824 0.000
0.180 0.424 0.500
0.424 0.180 0.500
0.576 0.820 0.500
0.820 0.576 0.500
0.824 0.176 0.000
0.000 0.500 0.000
0.500 0.000 0.000
0.000 0.000 0.500
0.500 0.500 0.000
```

Summary:
- Formation enthalpy at 0 K: -0.457 eV per atom
- Electronic total energy: -5.530 eV/atom

=====

No. 9
Compound: Nd3Rh4Pb2
Source: Alexandria via LeMat-Bulk
Functional: PBE
Structure: optimized geometry

Geometry as POSCAR:
```
Nd3Rh4Pb2
1.0
5.019 -2.279 0.000
5.019 2.279 0.000
-0.687 0.000 9.045
Nd Rh Pb
3 4 2
direct
0.000 0.000 0.000
0.371 0.371 0.612
0.629 0.629 0.388
0.081 0.081 0.625
0.286 0.286 0.912
0.714 0.714 0.088
0.919 0.919 0.375
0.324 0.324 0.218
0.676 0.676 0.782
```

Summary:
- Formation enthalpy at 0 K: -0.537 eV per atom
- Electronic total energy: -6.217 eV/atom

=====

No. 10
Compound: NdRh2Pb2
Source: Alexandria via LeMat-Bulk
Functional: PBE
Structure: optimized geometry

Geometry as POSCAR:
```
NdRh2Pb2
1.0
4.305 -2.488 0.000
4.305 2.488 0.000
-2.837 0.000 5.186
Nd Rh Pb
1 2 2
direct
0.000 0.000 0.000
0.415 0.415 0.244
0.585 0.585 0.756
0.225 0.225 0.675
0.775 0.775 0.325
```

Summary:
- Formation enthalpy at 0 K: -0.278 eV per atom
- Electronic total energy: -5.655 eV/atom

=====

No. 11
Compound: Nd3RhPb3
Source: Alexandria via LeMat-Bulk
Functional: PBE
Structure: optimized geometry

Geometry as POSCAR:
```
Nd3RhPb3
1.0
5.815 -2.314 0.000
5.815 2.314 0.000
-5.197 0.000 14.841
Nd Rh Pb
6 2 6
direct
0.020 0.020 0.381
0.097 0.097 0.922
0.237 0.237 0.245
0.763 0.763 0.755
0.903 0.903 0.078
0.980 0.980 0.619
0.255 0.255 0.620
0.745 0.745 0.380
0.351 0.351 0.467
0.370 0.370 0.922
0.481 0.481 0.765
0.519 0.519 0.235
0.630 0.630 0.078
0.649 0.649 0.533
```

Summary:
- Formation enthalpy at 0 K: -0.564 eV per atom
- Electronic total energy: -5.247 eV/atom

=====

No. 12
Compound: Nd2RhPb
Source: Alexandria via LeMat-Bulk
Functional: PBE
Structure: optimized geometry

Geometry as POSCAR:
```
Nd2RhPb
1.0
0.000 3.761 3.761
3.761 0.000 3.761
3.761 3.761 0.000
Nd Rh Pb
2 1 1
direct
0.250 0.250 0.250
0.750 0.750 0.750
0.000 0.000 0.000
0.500 0.500 0.500
```

Summary:
- Formation enthalpy at 0 K: -0.430 eV per atom
- Electronic total energy: -5.579 eV/atom

=====

No. 13
Compound: Nd3RhPb
Source: Alexandria via LeMat-Bulk
Functional: PBE
Structure: optimized geometry

Geometry as POSCAR:
```
Nd3RhPb
1.0
8.451 0.000 0.000
0.000 4.627 0.000
0.000 0.000 15.232
Nd Rh Pb
12 4 4
direct
0.022 0.250 0.111
0.154 0.250 0.508
0.187 0.750 0.287
0.313 0.250 0.787
0.346 0.750 0.008
0.478 0.750 0.611
0.522 0.250 0.389
0.654 0.250 0.992
0.687 0.750 0.213
0.813 0.250 0.713
0.846 0.750 0.492
0.978 0.750 0.889
0.164 0.250 0.944
0.336 0.750 0.444
0.664 0.250 0.556
0.836 0.750 0.056
0.092 0.750 0.674
0.408 0.250 0.174
0.592 0.750 0.826
0.908 0.250 0.326
```

Summary:
- Formation enthalpy at 0 K: -0.570 eV per atom
- Electronic total energy: -5.642 eV/atom

=====

No. 14
Compound: Nd2RhPb
Source: Alexandria via LeMat-Bulk
Functional: PBE
Structure: optimized geometry

Geometry as POSCAR:
```
Nd2RhPb
1.0
3.585 0.000 0.000
0.000 3.585 0.000
0.000 0.000 8.252
Nd Rh Pb
2 1 1
direct
0.000 0.000 0.208
0.000 0.000 0.792
0.500 0.500 0.000
0.500 0.500 0.500
```

Summary:
- Formation enthalpy at 0 K: -0.592 eV per atom
- Electronic total energy: -5.741 eV/atom

=====

No. 15
Compound: Nd4Rh2Pb5
Source: Alexandria via LeMat-Bulk
Functional: PBE
Structure: optimized geometry

Geometry as POSCAR:
```
Nd4Rh2Pb5
1.0
8.158 0.000 0.000
0.000 3.817 0.000
-0.530 0.000 9.809
Nd Rh Pb
4 2 5
direct
0.197 0.000 0.342
0.208 0.000 0.926
0.792 0.000 0.074
0.803 0.000 0.658
0.083 0.500 0.136
0.917 0.500 0.864
0.140 0.500 0.634
0.452 0.500 0.161
0.500 0.500 0.500
0.548 0.500 0.839
0.860 0.500 0.366
```

Summary:
- Formation enthalpy at 0 K: -0.546 eV per atom
- Electronic total energy: -5.302 eV/atom

=====

No. 16
Compound: Nd2Rh2Pb
Source: Alexandria via LeMat-Bulk
Functional: PBE
Structure: optimized geometry

Geometry as POSCAR:
```
Nd2Rh2Pb
1.0
-2.295 3.010 4.263
2.295 -3.010 4.263
2.295 3.010 -4.263
Nd Rh Pb
2 2 1
direct
0.207 0.207 0.000
0.793 0.793 0.000
0.220 0.500 0.720
0.780 0.500 0.280
0.500 0.000 0.500
```

Summary:
- Formation enthalpy at 0 K: -0.628 eV per atom
- Electronic total energy: -6.217 eV/atom

=====

No. 17
Compound: Nd4Rh2Pb
Source: Alexandria via LeMat-Bulk
Functional: PBE
Structure: optimized geometry

Geometry as POSCAR:
```
Nd4Rh2Pb
1.0
2.380 1.374 10.307
-2.380 1.374 10.307
0.000 -2.748 10.307
Nd Rh Pb
4 2 1
direct
0.113 0.113 0.113
0.298 0.298 0.298
0.702 0.702 0.702
0.887 0.887 0.887
0.399 0.399 0.399
0.601 0.601 0.601
0.500 0.500 0.500
```

Summary:
- Formation enthalpy at 0 K: -0.505 eV per atom
- Electronic total energy: -5.860 eV/atom

=====

No. 18
Compound: NdRh4Pb
Source: Alexandria via LeMat-Bulk
Functional: PBE
Structure: optimized geometry

Geometry as POSCAR:
```
NdRh4Pb
1.0
0.000 3.803 3.803
3.803 0.000 3.803
3.803 3.803 0.000
Nd Rh Pb
1 4 1
direct
0.000 0.000 0.000
0.127 0.624 0.624
0.624 0.127 0.624
0.624 0.624 0.127
0.624 0.624 0.624
0.250 0.250 0.250
```

Summary:
- Formation enthalpy at 0 K: -0.366 eV per atom
- Electronic total energy: -6.679 eV/atom

=====

No. 19
Compound: NdRhPb2
Source: Alexandria via LeMat-Bulk
Functional: PBE
Structure: optimized geometry

Geometry as POSCAR:
```
NdRhPb2
1.0
17.357 0.000 0.000
0.000 7.542 0.000
0.000 0.000 6.118
Nd Rh Pb
8 8 16
direct
0.108 0.250 0.243
0.144 0.750 0.474
0.356 0.250 0.974
0.392 0.750 0.743
0.608 0.250 0.257
0.644 0.750 0.026
0.856 0.250 0.526
0.892 0.750 0.757
0.080 0.750 0.034
0.165 0.250 0.700
0.335 0.750 0.200
0.420 0.250 0.534
0.580 0.750 0.466
0.665 0.250 0.800
0.835 0.750 0.300
0.920 0.250 0.966
0.034 0.037 0.747
0.034 0.463 0.747
0.215 0.540 0.978
0.215 0.960 0.978
0.285 0.040 0.478
0.285 0.460 0.478
0.466 0.537 0.247
0.466 0.963 0.247
0.534 0.037 0.753
0.534 0.463 0.753
0.715 0.540 0.522
0.715 0.960 0.522
0.785 0.040 0.022
0.785 0.460 0.022
0.966 0.537 0.253
0.966 0.963 0.253
```

Summary:
- Formation enthalpy at 0 K: -0.428 eV per atom
- Electronic total energy: -5.312 eV/atom

=====

No. 20
Compound: Nd2Rh3Pb
Source: Alexandria via LeMat-Bulk
Functional: PBE
Structure: optimized geometry

Geometry as POSCAR:
```
Nd2Rh3Pb
1.0
-2.391 2.795 5.044
2.391 -2.795 5.044
2.391 2.795 -5.044
Nd Rh Pb
2 3 1
direct
0.179 0.179 0.000
0.821 0.821 0.000
0.000 0.500 0.500
0.359 0.859 0.500
0.641 0.141 0.500
0.500 0.500 0.000
```

Summary:
- Formation enthalpy at 0 K: -0.321 eV per atom
- Electronic total energy: -6.205 eV/atom